# La2Tb3Si4

A relaxed La2Tb3Si4 crystal (PBE, the Alexandria database).

Summary:
For the total magnetization, the calculation gives 0.000 μB per formula unit. Its energy is -5.81 eV/atom. As for the crystal system: monoclinic.

Cell: 7.608 7.834 7.892 Å, 90.00 90.00 106.69°
Positions (direct):
Tb: 0.254 0.245 0.680
Tb: 0.000 0.500 0.500
Tb: 0.246 0.755 0.180
Tb: 0.746 0.755 0.320
Tb: 0.754 0.245 0.820
Tb: 0.500 0.500 0.000
Si: 0.619 0.921 0.031
Si: 0.119 0.921 0.469
Si: 0.377 0.495 0.382
Si: 0.881 0.079 0.531
Si: 0.623 0.505 0.618
Si: 0.877 0.495 0.118
Si: 0.381 0.079 0.969
Si: 0.123 0.505 0.882
La: 0.084 0.198 0.177
La: 0.584 0.198 0.323
La: 0.916 0.802 0.823
La: 0.416 0.802 0.677

=====

# TbSmMoN3

A relaxed TbSmMoN3 crystal (PBE, the Alexandria database).

Summary:
For the total magnetization, the calculation gives 0.000 μB per formula unit. Its energy is -8.74 eV/atom. As for the crystal system: monoclinic.

Cell: 3.345 5.833 8.521 Å, 103.17 90.00 90.00°
Positions (direct):
N: 0.750 0.570 0.178
N: 0.250 0.430 0.822
N: 0.750 0.048 0.179
N: 0.250 0.952 0.821
N: 0.750 0.250 0.514
N: 0.250 0.750 0.486
Tb: 0.250 0.767 0.054
Tb: 0.750 0.233 0.946
Sm: 0.750 0.639 0.687
Sm: 0.250 0.361 0.313
Mo: 0.750 0.891 0.381
Mo: 0.250 0.109 0.619

=====

# Ta2BeRu

A relaxed Ta2BeRu crystal (PBE, the Alexandria database).

Summary:
For the total magnetization, the calculation gives 0.000 μB per formula unit. Its energy is -8.67 eV/atom. As for the crystal system: tetragonal. As for the formation energy: 49 kJ/mol of atoms.

Cell: 6.938 6.938 5.579 Å, 51.56 51.56 90.00°
Positions (direct):
Ta: 0.126 0.625 0.250
Ta: 0.875 0.874 0.750
Ta: 0.375 0.376 0.750
Ta: 0.624 0.125 0.250
Ru: 0.750 0.250 0.500
Ru: 0.000 0.000 0.000
Be: 0.500 0.500 0.000
Be: 0.250 0.750 0.500

=====

> Number 1 is which compound?

La2Tb3Si4

=====

> Which formula does entry 3 have?

Ta2BeRu